[1]
# Mg2AgHg2Pd5

A geometry-optimized Mg2AgHg2Pd5 structure (GGA-PBE, the Alexandria database).

Lattice parameters (Å, degrees): 3.9445 9.4815 9.4815 90.00 90.00 90.00
Sites, in units of the cell vectors:
1 Mg 0.0000 0.1307 0.6307
2 Mg 0.0000 0.8693 0.3693
3 Mg 0.0000 0.6307 0.8693
4 Mg 0.0000 0.3693 0.1307
5 Ag 0.0000 0.0000 0.0000
6 Ag 0.0000 0.5000 0.5000
7 Hg 0.0000 0.6658 0.1658
8 Hg 0.0000 0.3342 0.8342
9 Hg 0.0000 0.1658 0.3342
10 Hg 0.0000 0.8342 0.6658
11 Pd 0.5000 0.1865 0.0992
12 Pd 0.5000 0.8135 0.9008
13 Pd 0.5000 0.0992 0.8135
14 Pd 0.5000 0.6865 0.4008
15 Pd 0.5000 0.9008 0.1865
16 Pd 0.5000 0.3135 0.5992
17 Pd 0.5000 0.5992 0.6865
18 Pd 0.5000 0.4008 0.3135
19 Pd 0.5000 0.5000 0.0000
20 Pd 0.5000 0.0000 0.5000

## Properties
Mass density = 10.206 g cm⁻³
Density of states at the Fermi level = 7.77 states/eV per cell
Energy relative to the elements = -21 kJ per mole of atoms

=====

[2]
# PrMg2Ag2Hg2

A geometry-optimized PrMg2Ag2Hg2 structure (GGA-PBE, the Alexandria database).

Lattice parameters (Å, degrees): 4.7662 4.7662 8.5779 73.87 73.87 60.00
Sites, in units of the cell vectors:
1 Pr 0.0000 0.0000 0.0000
2 Mg 0.1398 0.1398 0.5806
3 Mg 0.8602 0.8602 0.4194
4 Ag 0.5597 0.5597 0.3209
5 Ag 0.4403 0.4403 0.6791
6 Hg 0.7352 0.7352 0.7945
7 Hg 0.2648 0.2648 0.2055

## Properties
Mass density = 8.378 g cm⁻³
Density of states at the Fermi level = 3.66 states/eV per cell
Energy relative to the elements = -24 kJ per mole of atoms

=====

[3]
# PrMg2AgHg4

A geometry-optimized PrMg2AgHg4 structure (GGA-PBE, the Alexandria database).

Lattice parameters (Å, degrees): 4.8550 4.8550 9.4953 75.19 75.19 60.00
Sites, in units of the cell vectors:
1 Pr 0.0000 0.0000 0.0000
2 Mg 0.7596 0.7596 0.7213
3 Mg 0.2404 0.2404 0.2787
4 Ag 0.5000 0.5000 0.5000
5 Hg 0.3879 0.3879 0.8364
6 Hg 0.8746 0.8746 0.3763
7 Hg 0.1254 0.1254 0.6237
8 Hg 0.6121 0.6121 0.1636

## Properties
Mass density = 9.861 g cm⁻³
Density of states at the Fermi level = 3.32 states/eV per cell
Energy relative to the elements = -25 kJ per mole of atoms

=====

> Which of these has the lowest density of states at the Fermi level?

PrMg2AgHg4